(1)
First-principles (PBE) data for a relaxed ZrTaSCl2 crystal, as listed in Alexandria.

a b c (Å): 4.9450 4.9450 5.0996
angles (deg): 90.00 90.00 90.00
Space group P4/mmm (No. 123)
Symmetry-distinct sites (fractional):
Zr (0.0000, 0.0000, 0.0000) [1 per cell]
Ta (0.5000, 0.5000, 0.5000) [1 per cell]
S (0.0000, 0.0000, 0.5000) [1 per cell]
Cl (0.0000, 0.5000, 0.0000) [2 per cell]

The value obtained for the offset from the most stable computed form is 139 meV/atom. The spin magnetization comes out at 3.84 μB per cell. The raw formation energy comes out at 184.9 meV per atom.

(2)
First-principles (PBE) data for a relaxed LiNd crystal, as listed in Alexandria.

a b c (Å): 3.8231 3.8231 3.8231
angles (deg): 90.00 90.00 90.00
Space group Pm-3m (No. 221)
Symmetry-distinct sites (fractional):
Li (0.0000, 0.0000, 0.0000) [1 per cell]
Nd (0.5000, 0.5000, 0.5000) [1 per cell]

The value obtained for the offset from the most stable computed form is 52 meV/atom. The spin magnetization comes out at 0.00 μB per cell. The formation energy is 0.15 eV per atom.